Entry 1:
DFT (PBE-GGA) results for an optimized crystal structure of BeSbOs2.

Summary:
**Crystal system**: tetragonal
**DFT total energy**: -7.02 eV per atom
**Magnetization**: 0.00 μB/cell
**Polymorph energy (0 for the lowest one)**: 23.1 kJ/mol of atoms
**ΔE_f (raw)**: 0.552 eV/atom
**SG**: I-4m2 (119)

Cell and atoms, written as POSCAR:
```
BeSbOs2
1.0
-1.912 1.912 4.049
1.912 -1.912 4.049
1.912 1.912 -4.049
Be Sb Os
1 1 2
Cartesian
0.000 0.000 0.000 Be
0.000 1.912 2.025 Sb
1.912 0.000 2.025 Os
0.000 0.000 4.049 Os
```

Entry 2:
DFT (PBE-GGA) results for an optimized crystal structure of BAsP2Cl.

Summary:
**Crystal system**: triclinic
**DFT total energy**: -4.90 eV per atom
**Magnetization**: 0.00 μB/cell
**Polymorph energy (0 for the lowest one)**: 0.0 kJ/mol of atoms
**ΔE_f (raw)**: -0.099 eV/atom
**SG**: P1 (1)

Cell and atoms, written as POSCAR:
```
BAsP2Cl
1.0
3.362 0.000 0.000
0.542 4.413 0.000
0.315 1.937 7.349
B As P Cl
1 1 2 1
Cartesian
0.000 0.000 0.000 B
2.383 4.709 2.713 As
2.267 3.482 0.684 P
3.445 1.437 1.418 P
0.359 2.372 5.603 Cl
```